Record 1
A plane-wave DFT calculation with PBE-GGA was carried out for a geometry-optimized InGaHg5 structure.

Computed properties:
The calculation puts the energy at -0.92 eV/atom. The value obtained for the energy above the most stable polymorph in this dataset is 0.085 eV per atom.

```
data_InGaHg5
_chemical_formula_sum 'In2 Ga2 Hg10'
_cell_length_a 5.318
_cell_length_b 8.651
_cell_length_c 11.345
_cell_angle_alpha 90.00
_cell_angle_beta 90.00
_cell_angle_gamma 90.00
_space_group_name_H-M_alt 'I m m m'
_space_group_IT_number 71
_space_group_name_Hall '-I 2 2'
loop_
_atom_site_label
_atom_site_fract_x
_atom_site_fract_y
_atom_site_fract_z
In1 0.000 0.000 0.000
Ga1 0.000 0.000 0.500
Hg1 0.000 0.000 0.257
Hg2 0.000 0.318 0.500
Hg3 0.000 0.500 0.000
```


Record 2
A plane-wave DFT calculation with PBE-GGA was carried out for a geometry-optimized BRh3S structure.

Computed properties:
The calculation puts the energy at -6.26 eV/atom. The value obtained for the energy above the most stable polymorph in this dataset is 0.000 eV per atom. The uncorrected formation energy comes out at 311 meV per atom.

```
data_BRh3S
_chemical_formula_sum 'B1 Rh3 S1'
_cell_length_a 4.115
_cell_length_b 4.115
_cell_length_c 4.115
_cell_angle_alpha 90.00
_cell_angle_beta 90.00
_cell_angle_gamma 90.00
_space_group_name_H-M_alt 'P m -3 m'
_space_group_IT_number 221
_space_group_name_Hall '-P 4 2 3'
loop_
_atom_site_label
_atom_site_fract_x
_atom_site_fract_y
_atom_site_fract_z
B1 0.000 0.000 0.000
Rh1 0.000 0.000 0.500
S1 0.500 0.500 0.500
```


Record 3
A plane-wave DFT calculation with PBE-GGA was carried out for a geometry-optimized Ce5Th3 structure.

Computed properties:
The calculation puts the energy at -6.47 eV/atom. The value obtained for the energy above the most stable polymorph in this dataset is 0.003 eV per atom.

```
data_Ce5Th3
_chemical_formula_sum 'Ce5 Th3'
_cell_length_a 3.467
_cell_length_b 3.467
_cell_length_c 19.109
_cell_angle_alpha 90.00
_cell_angle_beta 90.00
_cell_angle_gamma 90.00
_space_group_name_H-M_alt 'P 4/m m m'
_space_group_IT_number 123
_space_group_name_Hall '-P 4 2'
loop_
_atom_site_label
_atom_site_fract_x
_atom_site_fract_y
_atom_site_fract_z
Ce1 0.000 0.000 0.000
Ce2 0.000 0.000 0.253
Ce3 0.500 0.500 0.374
Th1 0.000 0.000 0.500
Th2 0.500 0.500 0.127
```


Record 4
A plane-wave DFT calculation with PBE-GGA was carried out for a geometry-optimized CsNa2SbPd structure.

Computed properties:
The calculation puts the energy at -2.85 eV/atom. The value obtained for the energy above the most stable polymorph in this dataset is 0.000 eV per atom. The uncorrected formation energy comes out at -284 meV per atom.

```
data_CsNa2SbPd
_chemical_formula_sum 'Cs1 Na2 Sb1 Pd1'
_cell_length_a 5.752
_cell_length_b 5.752
_cell_length_c 5.124
_cell_angle_alpha 90.00
_cell_angle_beta 90.00
_cell_angle_gamma 90.00
_space_group_name_H-M_alt 'P 4/m m m'
_space_group_IT_number 123
_space_group_name_Hall '-P 4 2'
loop_
_atom_site_label
_atom_site_fract_x
_atom_site_fract_y
_atom_site_fract_z
Cs1 0.000 0.000 0.000
Na1 0.000 0.500 0.500
Sb1 0.500 0.500 0.000
Pd1 0.500 0.500 0.500
```